First-principles (GGA-PBE) data for crystalline GdDyMg3Co2 at its relaxed geometry, as listed in OQMD via LeMat-Bulk.

abc: 3.8013 10.6460 10.6460
angles: 20.63 90.00 90.00
Fractional positions:
Co  0.5000  0.2192  0.2192
Co  0.5000  0.7820  0.7820
Dy  0.0000  0.3234  0.3234
Gd  0.0000  0.6764  0.6764
Mg  0.5000  0.0803  0.0803
Mg  0.0000  0.4999  0.4999
Mg  0.5000  0.9189  0.9189

Values from the calculation:
The calculated total energy comes out at -4.1520 eV per atom. Its space group is No. 38.